SCAN CuMo3S, PBEsol geometry; ΔE_f (raw) = 1931 meV/atom; crystal system = cubic
1.0
4.468 0.000 0.000
0.000 4.468 0.000
0.000 0.000 4.468
Cu Mo S
1 3 1
direct
0.000 0.000 0.000
0.000 0.000 0.500
0.000 0.500 0.000
0.500 0.000 0.000
0.500 0.500 0.500

SCAN CuSbMo, PBEsol geometry; ΔE_f (raw) = 394 meV/atom; crystal system = tetragonal
1.0
-1.661 1.661 4.357
1.661 -1.661 4.357
1.661 1.661 -4.357
Cu Sb Mo
1 1 1
direct
0.000 0.000 0.000
0.666 0.666 0.000
0.339 0.339 0.000

SCAN CuSb2Mo, PBEsol geometry; ΔE_f (raw) = 303 meV/atom; crystal system = tetragonal
1.0
3.643 0.000 0.000
0.000 3.643 0.000
0.000 0.000 5.532
Cu Sb Mo
1 2 1
direct
0.000 0.000 0.000
0.000 0.000 0.483
0.500 0.500 0.832
0.500 0.500 0.309

SCAN CuSb3Mo, PBEsol geometry; ΔE_f (raw) = 982 meV/atom; crystal system = cubic
1.0
4.944 0.000 0.000
0.000 4.944 0.000
0.000 0.000 4.944
Cu Sb Mo
1 3 1
direct
0.000 0.000 0.000
0.000 0.000 0.500
0.000 0.500 0.000
0.500 0.000 0.000
0.500 0.500 0.500

SCAN ScCu2Mo, PBEsol geometry; ΔE_f = 143 meV/atom; crystal system = monoclinic; distance to the lowest polymorph of the same formula = 32 meV per atom
1.0
4.952 -1.358 0.000
4.952 1.358 0.000
-1.943 0.000 4.296
Sc Cu Mo
1 2 1
direct
0.000 0.000 0.000
0.240 0.240 0.853
0.524 0.524 0.506
0.772 0.772 0.379

SCAN ScCu2Mo, PBEsol geometry; ΔE_f = 111 meV/atom; crystal system = tetragonal; distance to the lowest polymorph of the same formula = 0 meV per atom
1.0
2.739 0.000 0.000
0.000 2.739 0.000
0.000 0.000 7.713
Sc Cu Mo
1 2 1
direct
0.000 0.000 0.000
0.000 0.000 0.533
0.500 0.500 0.736
0.500 0.500 0.295

SCAN Sc2CuMo, PBEsol geometry; ΔE_f = 66 meV/atom; crystal system = cubic; distance to the lowest polymorph of the same formula = 0 meV per atom
1.0
0.000 3.231 3.231
3.231 0.000 3.231
3.231 3.231 0.000
Sc Cu Mo
2 1 1
direct
0.250 0.250 0.250
0.750 0.750 0.750
0.000 0.000 0.000
0.500 0.500 0.500

SCAN Sc2CuMo, PBEsol geometry; ΔE_f = 276 meV/atom; crystal system = trigonal; distance to the lowest polymorph of the same formula = 211 meV per atom
1.0
1.513 0.873 8.842
-1.513 0.873 8.842
0.000 -1.747 8.842
Sc Cu Mo
2 1 1
direct
0.248 0.248 0.248
0.752 0.752 0.752
0.500 0.500 0.500
0.000 0.000 0.000

SCAN CuMoSe2, PBEsol geometry; ΔE_f (raw) = -89 meV/atom; crystal system = tetragonal; distance to the lowest polymorph of the same formula = 0 meV per atom
1.0
3.746 0.000 0.000
0.000 3.746 0.000
0.000 0.000 5.550
Cu Mo Se
1 1 2
direct
0.000 0.000 0.000
0.500 0.500 0.000
0.000 0.500 0.291
0.500 0.000 0.709

SCAN CuMoSe, PBEsol geometry; ΔE_f (raw) = 477 meV/atom; crystal system = hexagonal
1.0
4.395 0.000 0.000
-2.198 3.806 0.000
0.000 0.000 2.649
Cu Mo Se
1 1 1
direct
0.000 0.000 0.000
0.333 0.667 0.500
0.667 0.333 0.500

SCAN CuMo2Se, PBEsol geometry; ΔE_f (raw) = 505 meV/atom; crystal system = monoclinic
1.0
2.645 -4.037 0.000
2.645 4.037 0.000
-0.846 0.000 2.745
Cu Mo Se
1 2 1
direct
0.000 0.000 0.000
0.000 0.500 0.500
0.500 0.000 0.500
0.500 0.500 0.000

SCAN CuMo2Se, PBEsol geometry; ΔE_f (raw) = 218 meV/atom; crystal system = tetragonal
1.0
3.247 0.000 0.000
0.000 3.247 0.000
0.000 0.000 5.581
Cu Mo Se
1 2 1
direct
0.000 0.000 0.000
0.000 0.000 0.477
0.500 0.500 0.238
0.500 0.500 0.760

SCAN CuMoSe2, PBEsol geometry; ΔE_f (raw) = -72 meV/atom; crystal system = orthorhombic; distance to the lowest polymorph of the same formula = 17 meV per atom
1.0
-1.633 1.727 6.403
1.633 -1.727 6.403
1.633 1.727 -6.403
Cu Mo Se
1 1 2
direct
0.000 0.000 0.000
0.346 0.846 0.500
0.504 0.504 0.000
0.755 0.255 0.500

SCAN CuMo2Se, PBEsol geometry; ΔE_f (raw) = 493 meV/atom; crystal system = orthorhombic
1.0
3.167 0.000 0.000
0.000 4.307 0.000
0.000 0.000 4.330
Cu Mo Se
1 2 1
direct
0.000 0.000 0.000
0.000 0.500 0.500
0.500 0.000 0.500
0.500 0.500 0.000

SCAN CuMoSe2, PBEsol geometry; ΔE_f (raw) = 77 meV/atom; crystal system = tetragonal; distance to the lowest polymorph of the same formula = 165 meV per atom
1.0
3.130 0.000 0.000
0.000 3.130 0.000
0.000 0.000 6.259
Cu Mo Se
1 1 2
direct
0.000 0.000 0.000
0.000 0.000 0.500
0.500 0.500 0.260
0.500 0.500 0.740

SCAN CuSi2Mo, PBEsol geometry; ΔE_f (raw) = 99 meV/atom; crystal system = trigonal
1.0
1.395 0.806 7.971
-1.395 0.806 7.971
0.000 -1.611 7.971
Cu Si Mo
1 2 1
direct
0.000 0.000 0.000
0.253 0.253 0.253
0.747 0.747 0.747
0.500 0.500 0.500

SCAN CuSi2Mo, PBEsol geometry; ΔE_f (raw) = 478 meV/atom; crystal system = cubic
1.0
0.000 2.988 2.988
2.988 0.000 2.988
2.988 2.988 0.000
Cu Si Mo
1 2 1
direct
0.000 0.000 0.000
0.250 0.250 0.250
0.500 0.500 0.500
0.750 0.750 0.750

SCAN CuSi2Mo, PBEsol geometry; ΔE_f (raw) = -21 meV/atom; crystal system = orthorhombic
1.0
-1.715 1.992 3.782
1.715 -1.992 3.782
1.715 1.992 -3.782
Cu Si Mo
1 2 1
direct
0.000 0.000 0.000
0.243 0.743 0.500
0.757 0.257 0.500
0.500 0.500 0.000

SCAN CuSi3Mo, PBEsol geometry; ΔE_f (raw) = 910 meV/atom; crystal system = cubic
1.0
4.660 0.000 0.000
0.000 4.660 0.000
0.000 0.000 4.660
Cu Si Mo
1 3 1
direct
0.000 0.000 0.000
0.000 0.500 0.500
0.500 0.000 0.500
0.500 0.500 0.000
0.500 0.500 0.500

SCAN CuSi2Mo, PBEsol geometry; ΔE_f (raw) = 217 meV/atom; crystal system = orthorhombic
1.0
1.684 -2.112 0.000
1.684 2.112 0.000
0.000 0.000 7.581
Cu Si Mo
1 2 1
direct
0.000 0.000 0.000
0.500 0.500 0.246
0.500 0.500 0.754
0.000 0.000 0.500

Table of calculated density (g cm⁻³), in record order: 7.1 9.7 9.1 7.2 7.7 7.7 6.1 5.9 6.8 8.9 9.5 9.4 7.3 9.4 8.6 6.7 6.7 6.9 4.0 6.6